Compound: BeZnPt
Source: Alexandria via LeMat-Bulk
Functional: meta-GGA SCAN
Structure: PBEsol geometry

Results
Total magnetic moment in μB per atom: 0.00
DFT formation energy in eV/atom: -0.49
Crystal system: cubic
E in eV per atom: -29.845

a b c (Å): 5.391 5.391 5.391
angles (deg): 90.00 90.00 90.00
Space group F-43m (No. 216)
Inequivalent atoms, fractional coordinates:
Be1 0.000 0.000 0.000
Zn1 0.250 0.250 0.250
Pt1 0.250 0.250 0.750